A relaxed structure of LiTi3VP6O24, computed with PBE with a Hubbard U.

Properties
M_tot = 0.0 Bohr magnetons per cell
space group = R3, No. 146
raw total energy = -7.68 eV per atom

```
LiTi3VP6O24
1.0
8.647 -0.076 -0.053
4.424 7.430 -0.053
4.424 2.489 7.001
O Ti P V Li
24 3 6 1 1
direct
0.554 0.417 0.787 O
0.735 0.078 0.933 O
0.276 0.142 0.513 O
0.078 0.933 0.735 O
0.456 0.577 0.213 O
0.933 0.735 0.078 O
0.064 0.270 0.915 O
0.142 0.513 0.276 O
0.809 0.990 0.628 O
0.990 0.628 0.809 O
0.787 0.554 0.417 O
0.213 0.456 0.577 O
0.270 0.915 0.064 O
0.496 0.714 0.861 O
0.628 0.809 0.990 O
0.915 0.064 0.270 O
0.577 0.213 0.456 O
0.714 0.861 0.496 O
0.417 0.787 0.554 O
0.861 0.496 0.714 O
0.513 0.276 0.142 O
0.007 0.379 0.188 O
0.379 0.188 0.007 O
0.188 0.007 0.379 O
0.364 0.364 0.364 Ti
0.143 0.143 0.143 Ti
0.635 0.635 0.635 Ti
0.243 0.970 0.542 P
0.461 0.752 0.031 P
0.031 0.461 0.752 P
0.752 0.031 0.461 P
0.970 0.542 0.243 P
0.542 0.243 0.970 P
0.857 0.857 0.857 V
0.002 0.002 0.002 Li
```